Record 1
Mn7P12WO48 | PBE with a Hubbard U | relaxed

Results
The value obtained for the energy is -7.133 eV/atom. For the calculated density, the calculation gives 3.4 g/cm³.

The structure in CIF format:
```
data_Mn7P12WO48
_symmetry_space_group_name_H-M 'P 1'
_symmetry_Int_Tables_number 1
_cell_length_a 8.5361
_cell_length_b 8.3125
_cell_length_c 11.7080
_cell_angle_alpha 90.58
_cell_angle_beta 90.07
_cell_angle_gamma 89.88
loop_
_symmetry_equiv_pos_as_xyz
'x,y,z'
loop_
_atom_site_label
_atom_site_fract_x
_atom_site_fract_y
_atom_site_fract_z
Mn1 0.9689 0.7524 0.3872
O1 0.9504 0.7249 0.5492
P1 0.8842 0.1075 0.8520
O2 0.1266 0.5646 0.9440
O3 0.5735 0.4300 0.3168
O4 0.7980 0.6131 0.3449
O5 0.6318 0.5932 0.0837
O6 0.0031 0.6312 0.7487
Mn2 0.4682 0.2495 0.3807
O7 0.9200 0.9302 0.8185
O8 0.6743 0.4390 0.8924
P2 0.2498 0.4660 0.0086
O9 0.3267 0.5615 0.1093
P3 0.7540 0.0395 0.4896
O10 0.1317 0.9058 0.4138
O11 0.8735 0.4383 0.0593
O12 0.8697 0.0959 0.5810
Mn3 0.5314 0.2554 0.8874
O13 0.0773 0.0686 0.1831
Mn4 0.0283 0.7519 0.8864
P4 0.1147 0.3891 0.3543
O14 0.9294 0.1404 0.9762
P5 0.2460 0.9734 0.5022
O15 0.4300 0.7773 0.9587
P6 0.3796 0.3804 0.6461
O16 0.3852 0.0721 0.8942
W1 0.5300 0.7490 0.6194
O17 0.4798 0.2742 0.7236
O18 0.7826 0.1590 0.1813
O19 0.2803 0.3368 0.3146
P7 0.8988 0.6097 0.6440
O20 0.5637 0.2279 0.0465
Mn5 0.4698 0.7470 0.1161
P8 0.7510 0.5352 0.9929
O21 0.0726 0.8629 0.0238
Mn6 0.9710 0.2498 0.1155
O22 0.1729 0.3158 0.0609
O23 0.3743 0.0601 0.4361
O24 0.8204 0.9323 0.3930
P9 0.6152 0.1121 0.1428
O25 0.7042 0.1234 0.8348
O26 0.0123 0.7777 0.2239
O27 0.9792 0.2217 0.7745
O28 0.2154 0.8440 0.8198
O29 0.6124 0.9334 0.1046
O30 0.3319 0.8286 0.5623
O31 0.3680 0.4099 0.9165
O32 0.5279 0.7252 0.2754
O33 0.6686 0.1837 0.4390
O34 0.5655 0.6426 0.4746
O35 0.1170 0.5690 0.3900
O36 0.8272 0.6854 0.9400
O37 0.5004 0.1319 0.2433
P10 0.6184 0.6031 0.3481
O38 0.4226 0.3564 0.5208
O39 0.9991 0.3679 0.2540
O40 0.2013 0.3775 0.6650
P11 0.3776 0.8931 0.8649
O41 0.0620 0.2771 0.4521
O42 0.2915 0.8710 0.1713
O43 0.4231 0.5625 0.6739
Mn7 0.0317 0.2471 0.6123
O44 0.7253 0.6616 0.6754
O45 0.6346 0.9346 0.5613
O46 0.1766 0.0686 0.6041
O47 0.4945 0.8573 0.7624
P12 0.1129 0.8912 0.1496
O48 0.8902 0.4319 0.6076
```

=====

Record 2
MnPWO2 | PBE with a Hubbard U | relaxed

Results
The value obtained for the energy is -6.223 eV/atom. For the calculated density, the calculation gives 7.1 g/cm³. The relative energy among the computed polymorphs is 700 meV/atom.

The structure in CIF format:
```
data_MnPWO2
_symmetry_space_group_name_H-M 'P 1'
_symmetry_Int_Tables_number 1
_cell_length_a 3.7441
_cell_length_b 3.7441
_cell_length_c 5.0511
_cell_angle_alpha 90.00
_cell_angle_beta 90.00
_cell_angle_gamma 90.00
loop_
_symmetry_equiv_pos_as_xyz
'x,y,z'
loop_
_atom_site_label
_atom_site_fract_x
_atom_site_fract_y
_atom_site_fract_z
W1 0.5000 0.5000 0.5000
P1 0.0000 0.0000 0.5000
Mn1 0.0000 0.0000 0.0000
O1 0.5000 0.0000 0.0000
O2 0.0000 0.5000 0.0000
```

=====

Record 3
YMnP2O | PBE with a Hubbard U | relaxed

Results
The value obtained for the energy is -6.543 eV/atom. For the calculated density, the calculation gives 4.2 g/cm³. The relative energy among the computed polymorphs is 0 meV/atom.

The structure in CIF format:
```
data_YMnP2O
_symmetry_space_group_name_H-M 'P 1'
_symmetry_Int_Tables_number 1
_cell_length_a 4.8284
_cell_length_b 4.8284
_cell_length_c 3.7202
_cell_angle_alpha 90.00
_cell_angle_beta 90.00
_cell_angle_gamma 90.00
loop_
_symmetry_equiv_pos_as_xyz
'x,y,z'
loop_
_atom_site_label
_atom_site_fract_x
_atom_site_fract_y
_atom_site_fract_z
P1 0.5000 0.0000 0.0000
P2 0.0000 0.5000 0.0000
Mn1 0.0000 0.0000 0.0000
Y1 0.5000 0.5000 0.5000
O1 0.0000 0.0000 0.5000
```

=====

Record 4
YMnP2O8 | PBE with a Hubbard U | relaxed

Results
The value obtained for the energy is -7.651 eV/atom. For the calculated density, the calculation gives 3.8 g/cm³.

The structure in CIF format:
```
data_YMnP2O8
_symmetry_space_group_name_H-M 'P 1'
_symmetry_Int_Tables_number 1
_cell_length_a 5.1009
_cell_length_b 5.1009
_cell_length_c 6.4565
_cell_angle_alpha 90.00
_cell_angle_beta 90.00
_cell_angle_gamma 120.00
loop_
_symmetry_equiv_pos_as_xyz
'x,y,z'
loop_
_atom_site_label
_atom_site_fract_x
_atom_site_fract_y
_atom_site_fract_z
O1 0.6667 0.3333 0.5094
O2 0.8340 0.1660 0.2009
O3 0.3320 0.1660 0.2009
O4 0.1660 0.3320 0.7991
Mn1 0.0000 0.0000 0.0000
O5 0.1660 0.8340 0.7991
P1 0.6667 0.3333 0.2725
O6 0.8340 0.6680 0.2009
P2 0.3333 0.6667 0.7275
O7 0.3333 0.6667 0.4906
O8 0.6680 0.8340 0.7991
Y1 0.0000 0.0000 0.5000
```

=====

> Which formula does entry 3 have?

YMnP2O

=====

Repeat the first record exactly.
Mn7P12WO48 | PBE with a Hubbard U | relaxed

Results
The value obtained for the energy is -7.133 eV/atom. For the calculated density, the calculation gives 3.4 g/cm³.

The structure in CIF format:
```
data_Mn7P12WO48
_symmetry_space_group_name_H-M 'P 1'
_symmetry_Int_Tables_number 1
_cell_length_a 8.5361
_cell_length_b 8.3125
_cell_length_c 11.7080
_cell_angle_alpha 90.58
_cell_angle_beta 90.07
_cell_angle_gamma 89.88
loop_
_symmetry_equiv_pos_as_xyz
'x,y,z'
loop_
_atom_site_label
_atom_site_fract_x
_atom_site_fract_y
_atom_site_fract_z
Mn1 0.9689 0.7524 0.3872
O1 0.9504 0.7249 0.5492
P1 0.8842 0.1075 0.8520
O2 0.1266 0.5646 0.9440
O3 0.5735 0.4300 0.3168
O4 0.7980 0.6131 0.3449
O5 0.6318 0.5932 0.0837
O6 0.0031 0.6312 0.7487
Mn2 0.4682 0.2495 0.3807
O7 0.9200 0.9302 0.8185
O8 0.6743 0.4390 0.8924
P2 0.2498 0.4660 0.0086
O9 0.3267 0.5615 0.1093
P3 0.7540 0.0395 0.4896
O10 0.1317 0.9058 0.4138
O11 0.8735 0.4383 0.0593
O12 0.8697 0.0959 0.5810
Mn3 0.5314 0.2554 0.8874
O13 0.0773 0.0686 0.1831
Mn4 0.0283 0.7519 0.8864
P4 0.1147 0.3891 0.3543
O14 0.9294 0.1404 0.9762
P5 0.2460 0.9734 0.5022
O15 0.4300 0.7773 0.9587
P6 0.3796 0.3804 0.6461
O16 0.3852 0.0721 0.8942
W1 0.5300 0.7490 0.6194
O17 0.4798 0.2742 0.7236
O18 0.7826 0.1590 0.1813
O19 0.2803 0.3368 0.3146
P7 0.8988 0.6097 0.6440
O20 0.5637 0.2279 0.0465
Mn5 0.4698 0.7470 0.1161
P8 0.7510 0.5352 0.9929
O21 0.0726 0.8629 0.0238
Mn6 0.9710 0.2498 0.1155
O22 0.1729 0.3158 0.0609
O23 0.3743 0.0601 0.4361
O24 0.8204 0.9323 0.3930
P9 0.6152 0.1121 0.1428
O25 0.7042 0.1234 0.8348
O26 0.0123 0.7777 0.2239
O27 0.9792 0.2217 0.7745
O28 0.2154 0.8440 0.8198
O29 0.6124 0.9334 0.1046
O30 0.3319 0.8286 0.5623
O31 0.3680 0.4099 0.9165
O32 0.5279 0.7252 0.2754
O33 0.6686 0.1837 0.4390
O34 0.5655 0.6426 0.4746
O35 0.1170 0.5690 0.3900
O36 0.8272 0.6854 0.9400
O37 0.5004 0.1319 0.2433
P10 0.6184 0.6031 0.3481
O38 0.4226 0.3564 0.5208
O39 0.9991 0.3679 0.2540
O40 0.2013 0.3775 0.6650
P11 0.3776 0.8931 0.8649
O41 0.0620 0.2771 0.4521
O42 0.2915 0.8710 0.1713
O43 0.4231 0.5625 0.6739
Mn7 0.0317 0.2471 0.6123
O44 0.7253 0.6616 0.6754
O45 0.6346 0.9346 0.5613
O46 0.1766 0.0686 0.6041
O47 0.4945 0.8573 0.7624
P12 0.1129 0.8912 0.1496
O48 0.8902 0.4319 0.6076
```

=====

> Among the records above, which one has the lowest energy?

YMnP2O8